# 1
Computed, not measured: an optimized crystal structure of SrLa2Mo at the PBE level of DFT.

Cell lengths 8.148, 8.148, 7.943 Å; angles 59.14, 59.14, 90.00 degrees
Fractional positions:
Sr  0.500  0.500  0.000
Sr  0.250  0.750  0.500
Mo  0.000  0.000  0.000
Mo  0.750  0.250  0.500
La  0.805  0.125  0.250
La  0.945  0.625  0.250
La  0.375  0.195  0.750
La  0.875  0.055  0.750

Calculated values
**DFT formation energy**: 0.60 eV per atom
**Space group**: I-42d, No. 122
**VASP energy**: -4.987 eV per atom
**Crystal system**: tetragonal

***

# 2
Computed, not measured: an optimized crystal structure of SrLa3Mo at the PBE level of DFT.

Cell lengths 5.814, 5.814, 5.814 Å; angles 90.00, 90.00, 90.00 degrees
Fractional positions:
Sr  0.000  0.000  0.000
Mo  0.500  0.500  0.500
La  0.000  0.500  0.000
La  0.000  0.000  0.500
La  0.500  0.000  0.000

Calculated values
**DFT formation energy**: 1.65 eV per atom
**Space group**: Pm-3m, No. 221
**VASP energy**: -3.813 eV per atom
**Crystal system**: cubic

***

# 3
Computed, not measured: an optimized crystal structure of SrLa2Mo at the PBE level of DFT.

Cell lengths 11.205, 11.205, 11.205 Å; angles 19.45, 19.45, 19.45 degrees
Fractional positions:
La  0.978  0.978  0.978
La  0.522  0.522  0.522
Mo  0.250  0.250  0.250
Sr  0.750  0.750  0.750

Calculated values
**DFT formation energy**: 0.46 eV per atom
**Space group**: R-3m, No. 166
**VASP energy**: -5.131 eV per atom
**Crystal system**: trigonal

***

# 4
Computed, not measured: an optimized crystal structure of SrLaMo2 at the PBE level of DFT.

Cell lengths 4.093, 4.093, 6.852 Å; angles 90.00, 90.00, 90.00 degrees
Fractional positions:
La  0.500  0.500  0.750
Mo  0.000  0.000  0.913
Mo  0.000  0.000  0.587
Sr  0.500  0.500  0.250

Calculated values
**DFT formation energy**: 0.78 eV per atom
**Space group**: P4/mmm, No. 123
**VASP energy**: -6.285 eV per atom
**Crystal system**: tetragonal

***

# 5
Computed, not measured: an optimized crystal structure of SrLa2Mo at the PBE level of DFT.

Cell lengths 11.222, 11.222, 11.222 Å; angles 18.80, 18.80, 18.80 degrees
Fractional positions:
La  0.993  0.993  0.993
La  0.231  0.231  0.231
Mo  0.508  0.508  0.508
Sr  0.767  0.767  0.767

Calculated values
**DFT formation energy**: 0.61 eV per atom
**Space group**: R3m, No. 160
**VASP energy**: -4.978 eV per atom
**Crystal system**: trigonal

***

# 6
Computed, not measured: an optimized crystal structure of SrLaMo2 at the PBE level of DFT.

Cell lengths 4.997, 4.997, 4.997 Å; angles 117.35, 117.35, 94.66 degrees
Fractional positions:
La  0.750  0.250  0.500
Mo  0.000  0.000  0.000
Mo  0.250  0.750  0.500
Sr  0.500  0.500  0.000

Calculated values
**DFT formation energy**: 0.97 eV per atom
**Space group**: I-4m2, No. 119
**VASP energy**: -6.096 eV per atom
**Crystal system**: tetragonal

***

# 7
Computed, not measured: an optimized crystal structure of SrLaMo2 at the PBE level of DFT.

Cell lengths 5.981, 5.981, 5.981 Å; angles 138.78, 138.78, 59.70 degrees
Fractional positions:
La  0.750  0.250  0.500
Mo  0.000  0.000  0.000
Mo  0.500  0.500  0.000
Sr  0.250  0.750  0.500

Calculated values
**DFT formation energy**: 1.07 eV per atom
**Space group**: I4/mmm, No. 139
**VASP energy**: -5.999 eV per atom
**Crystal system**: tetragonal

***

# 8
Computed, not measured: an optimized crystal structure of SrLa2Mo at the PBE level of DFT.

Cell lengths 3.481, 3.481, 11.426 Å; angles 90.00, 90.00, 114.12 degrees
Fractional positions:
La  0.000  0.000  0.011
La  0.500  0.500  0.308
Mo  0.000  0.000  0.478
Sr  0.500  0.500  0.703

Calculated values
**DFT formation energy**: 0.59 eV per atom
**Space group**: Cmm2, No. 35
**VASP energy**: -5.005 eV per atom
**Crystal system**: orthorhombic

***

# 9
Computed, not measured: an optimized crystal structure of SrLaMo2 at the PBE level of DFT.

Cell lengths 4.196, 4.202, 5.209 Å; angles 90.00, 90.00, 90.00 degrees
Fractional positions:
La  0.000  0.500  0.500
Mo  0.000  0.000  0.000
Mo  0.500  0.500  0.000
Sr  0.500  0.000  0.500

Calculated values
**DFT formation energy**: 1.07 eV per atom
**Space group**: P4/mmm, No. 123
**VASP energy**: -5.999 eV per atom
**Crystal system**: tetragonal

***

# 10
Computed, not measured: an optimized crystal structure of SrLa2Mo at the PBE level of DFT.

Cell lengths 6.876, 6.876, 6.876 Å; angles 149.74, 125.18, 63.91 degrees
Fractional positions:
La  0.940  0.940  0.000
La  0.560  0.560  0.000
Mo  0.750  0.250  0.500
Sr  0.250  0.750  0.500

Calculated values
**DFT formation energy**: 0.44 eV per atom
**Space group**: Immm, No. 71
**VASP energy**: -5.157 eV per atom
**Crystal system**: orthorhombic

***

# 11
Computed, not measured: an optimized crystal structure of SrLa2Mo at the PBE level of DFT.

Cell lengths 5.482, 5.482, 5.482 Å; angles 60.00, 60.00, 60.00 degrees
Fractional positions:
La  0.000  0.000  0.000
La  0.250  0.250  0.250
Mo  0.500  0.500  0.500
Sr  0.750  0.750  0.750

Calculated values
**DFT formation energy**: 0.73 eV per atom
**Space group**: F-43m, No. 216
**VASP energy**: -4.866 eV per atom
**Crystal system**: cubic

***

# 12
Computed, not measured: an optimized crystal structure of SrLa2Mo at the PBE level of DFT.

Cell lengths 4.452, 3.874, 8.775 Å; angles 78.99, 90.00, 90.00 degrees
Fractional positions:
La  0.000  0.965  0.077
La  0.500  0.246  0.351
Mo  0.000  0.672  0.348
Sr  0.500  0.618  0.724

Calculated values
**DFT formation energy**: 0.49 eV per atom
**Space group**: Pm, No. 6
**VASP energy**: -5.103 eV per atom
**Crystal system**: monoclinic

***

Q: The lowest DFT formation energy belongs to which entry?
A: number 10